Entry 1:
# Tb6Pm16Tm7 | Alexandria via LeMat-Bulk | PBE | relaxed
# * magnetization: 0.0 Bohr magnetons per cell
# * E_form: 4.8 kcal/mol of atoms
# * VASP energy: -516.32 eV per cell
data_Tb6Pm16Tm7
_symmetry_space_group_name_H-M 'F m -3 m'
_symmetry_Int_Tables_number 225
_symmetry_space_group_name_Hall '-F 4 2 3'
_cell_length_a 15.8907
_cell_length_b 15.8907
_cell_length_c 15.8907
_cell_angle_alpha 90.00
_cell_angle_beta 90.00
_cell_angle_gamma 90.00
loop_
_atom_site_label
_atom_site_type_symbol
_atom_site_fract_x
_atom_site_fract_y
_atom_site_fract_z
_atom_site_occupancy
Tb1 Tb 0.0000 0.0000 0.2317 1
Pm1 Pm 0.1248 0.1248 0.3752 1
Pm2 Pm 0.1496 0.1496 0.1496 1
Tm1 Tm 0.0000 0.0000 0.5000 1
Tm2 Tm 0.0000 0.2500 0.2500 1



Entry 2:
# TbPm2Tm7 | Alexandria via LeMat-Bulk | PBE | relaxed
# * ΔE to the lowest computed polymorph: 0 meV per atom
# * magnetization: 0.0 Bohr magnetons per cell
# * E_form: 0.5 kcal/mol of atoms
# * VASP energy: -45.21 eV per cell
data_TbPm2Tm7
_symmetry_space_group_name_H-M 'P -1'
_symmetry_Int_Tables_number 2
_symmetry_space_group_name_Hall '-P 1'
_cell_length_a 6.1036
_cell_length_b 7.0465
_cell_length_c 7.8863
_cell_angle_alpha 77.14
_cell_angle_beta 75.03
_cell_angle_gamma 73.33
loop_
_atom_site_label
_atom_site_type_symbol
_atom_site_fract_x
_atom_site_fract_y
_atom_site_fract_z
_atom_site_occupancy
Tb1 Tb 0.0000 0.0000 0.0000 1
Pm1 Pm 0.2009 0.2990 0.6010 1
Tm1 Tm 0.0000 0.5000 0.0000 1
Tm2 Tm 0.1996 0.7999 0.6011 1
Tm3 Tm 0.3994 0.1009 0.1979 1
Tm4 Tm 0.4000 0.6003 0.1986 1



Q: Which formula does entry 2 have?
A: TbPm2Tm7